(1)
Compound: NiRuW
Source: Alexandria via LeMat-Bulk
Functional: GGA-PBE
Structure: optimized geometry

Cell lengths 4.243, 4.243, 2.678 Å; angles 90.00, 90.00, 120.00 degrees
Sites, in units of the cell vectors:
Ni: 0.000 0.000 0.000
Ru: 0.333 0.667 0.459
W: 0.667 0.333 0.854

DFT formation energy: 0.11 eV per atom
calculated density: 13665 kg/m³

(2)
Compound: NiRu2W
Source: Alexandria via LeMat-Bulk
Functional: GGA-PBE
Structure: optimized geometry

Cell lengths 8.706, 2.724, 4.741 Å; angles 90.00, 99.38, 90.00 degrees
Sites, in units of the cell vectors:
Ni: 0.000 0.000 0.000
Ni: 0.500 0.500 0.000
Ru: 0.248 0.500 0.231
Ru: 0.252 0.000 0.769
Ru: 0.748 0.000 0.231
Ru: 0.752 0.500 0.769
W: 0.000 0.500 0.500
W: 0.500 0.000 0.500

DFT formation energy: 0.06 eV per atom
calculated density: 13313 kg/m³

(3)
Compound: NiRu2W
Source: Alexandria via LeMat-Bulk
Functional: GGA-PBE
Structure: optimized geometry

Cell lengths 2.747, 2.747, 7.362 Å; angles 90.00, 90.00, 90.00 degrees
Sites, in units of the cell vectors:
Ni: 0.000 0.000 0.000
Ru: 0.500 0.500 0.238
Ru: 0.500 0.500 0.762
W: 0.000 0.000 0.500

DFT formation energy: 0.13 eV per atom
calculated density: 13289 kg/m³

(4)
Compound: NiRu2W
Source: Alexandria via LeMat-Bulk
Functional: GGA-PBE
Structure: optimized geometry

Cell lengths 3.148, 3.148, 5.671 Å; angles 90.00, 90.00, 90.00 degrees
Sites, in units of the cell vectors:
Ni: 0.000 0.000 0.000
Ru: 0.000 0.000 0.522
Ru: 0.500 0.500 0.221
W: 0.500 0.500 0.780

DFT formation energy: 0.21 eV per atom
calculated density: 13139 kg/m³

(5)
Compound: Ni2RuW
Source: Alexandria via LeMat-Bulk
Functional: GGA-PBE
Structure: optimized geometry

Cell lengths 2.698, 2.698, 25.444 Å; angles 90.00, 90.00, 120.00 degrees
Sites, in units of the cell vectors:
Ni: 0.000 0.000 0.000
Ni: 0.000 0.000 0.256
Ni: 0.333 0.667 0.667
Ni: 0.333 0.667 0.922
Ni: 0.667 0.333 0.333
Ni: 0.667 0.333 0.589
Ru: 0.000 0.000 0.750
Ru: 0.333 0.667 0.417
Ru: 0.667 0.333 0.084
W: 0.000 0.000 0.504
W: 0.333 0.667 0.171
W: 0.667 0.333 0.838

DFT formation energy: 0.18 eV per atom
calculated density: 12492 kg/m³

(6)
Compound: Ni3RuW
Source: Alexandria via LeMat-Bulk
Functional: GGA-PBE
Structure: optimized geometry

Cell lengths 4.421, 4.421, 4.421 Å; angles 90.00, 90.00, 90.00 degrees
Sites, in units of the cell vectors:
Ni: 0.000 0.000 0.500
Ni: 0.000 0.500 0.000
Ni: 0.500 0.000 0.000
Ru: 0.500 0.500 0.500
W: 0.000 0.000 0.000

DFT formation energy: 1.71 eV per atom
calculated density: 8858 kg/m³